## ScBeNb2P (PBE)

Data for a relaxed ScBeNb2P crystal.

a = 4.770 Å, b = 4.270 Å, c = 4.770 Å
α = 90.00°, β = 90.00°, γ = 90.00°
Sites, in units of the cell vectors:
Sc1 0.000 0.000 0.000
P1 0.500 0.500 0.500
Nb1 0.000 0.000 0.500
Nb2 0.500 0.000 0.000
Be1 0.000 0.500 0.000

Output
* VASP energy: -5.3832 eV per atom
* total magnetic moment: 0.00 μB/f.u.
* DOS at the Fermi energy: 6.85 states/eV per cell